No. 1
VASP calculation (PBE-GGA) on a geometry-optimized NaH3O structure.

Summary:
Final energy = -0.1038 Ha/atom
Symmetry = Pm-3m (221)
Polymorph energy (0 for the lowest one) = 682 meV/atom

Cell and atoms, written as POSCAR:
```
NaH3O
1.0
3.372 0.000 0.000
0.000 3.372 0.000
0.000 0.000 3.372
Na O H
1 1 3
direct
0.500 0.500 0.500 Na
0.000 0.000 0.000 O
0.000 0.500 0.000 H
0.000 0.000 0.500 H
0.500 0.000 0.000 H
```



No. 2
VASP calculation (PBE-GGA) on a geometry-optimized NaHO3 structure.

Summary:
Final energy = -0.0955 Ha/atom
Symmetry = Pm-3m (221)

Cell and atoms, written as POSCAR:
```
NaHO3
1.0
4.189 0.000 0.000
0.000 4.189 0.000
0.000 0.000 4.189
Na O H
1 3 1
direct
0.000 0.000 0.000 Na
0.000 0.500 0.000 O
0.000 0.000 0.500 O
0.500 0.000 0.000 O
0.500 0.500 0.500 H
```



No. 3
VASP calculation (PBE-GGA) on a geometry-optimized Na7HO2 structure.

Summary:
Final energy = -0.1033 Ha/atom
Symmetry = Cmmm (65)

Cell and atoms, written as POSCAR:
```
Na7HO2
1.0
-4.388 0.699 0.465
-1.325 -6.612 -2.573
0.783 0.145 7.174
Na H O
7 1 2
direct
0.000 0.690 0.310 Na
0.000 0.310 0.690 Na
0.500 0.043 0.326 Na
0.500 0.957 0.674 Na
0.500 0.326 0.043 Na
0.500 0.674 0.957 Na
0.500 0.500 0.500 Na
0.000 0.000 0.000 H
0.500 0.704 0.296 O
0.500 0.296 0.704 O
```



No. 4
VASP calculation (PBE-GGA) on a geometry-optimized Na7H5O structure.

Summary:
Final energy = -0.1025 Ha/atom
Symmetry = Cmc2_1 (36)

Cell and atoms, written as POSCAR:
```
Na7H5O
1.0
3.376 0.000 0.000
-1.688 5.639 0.007
0.000 -0.023 19.696
Na H O
14 10 2
direct
0.431 0.861 0.250 Na
0.570 0.140 0.750 Na
0.635 0.271 0.037 Na
0.366 0.732 0.963 Na
0.365 0.730 0.537 Na
0.635 0.269 0.463 Na
0.197 0.394 0.182 Na
0.804 0.608 0.818 Na
0.803 0.606 0.682 Na
0.197 0.394 0.318 Na
0.909 0.818 0.113 Na
0.092 0.185 0.887 Na
0.091 0.183 0.613 Na
0.908 0.817 0.387 Na
0.001 0.001 0.000 H
0.727 0.453 0.927 H
0.275 0.549 0.073 H
0.541 0.081 0.352 H
0.460 0.919 0.648 H
0.000 0.000 0.500 H
0.274 0.548 0.427 H
0.726 0.452 0.573 H
0.460 0.920 0.852 H
0.541 0.082 0.148 H
0.794 0.587 0.250 O
0.207 0.414 0.750 O
```



No. 5
VASP calculation (PBE-GGA) on a geometry-optimized Na2H3O2 structure.

Summary:
Final energy = -0.1541 Ha/atom
Symmetry = P2/m (10)

Cell and atoms, written as POSCAR:
```
Na2H3O2
1.0
-1.228 -1.994 -3.069
2.637 -2.389 0.497
-3.533 -2.842 5.085
Na H O
2 3 2
direct
0.354 0.500 0.761 Na
0.646 0.500 0.239 Na
0.170 0.000 0.274 H
0.000 0.000 0.000 H
0.830 0.000 0.726 H
0.249 0.000 0.146 O
0.751 0.000 0.854 O
```



No. 6
VASP calculation (PBE-GGA) on a geometry-optimized NaH6O3 structure.

Summary:
Final energy = -0.1647 Ha/atom
Symmetry = R3m (160)

Cell and atoms, written as POSCAR:
```
NaH6O3
1.0
-4.275 1.494 1.114
0.612 -5.308 2.958
3.750 4.382 2.009
Na H O
1 6 3
direct
0.309 0.000 0.000 Na
0.136 0.000 0.498 H
0.136 0.498 0.000 H
0.831 0.000 0.560 H
0.831 0.560 0.000 H
0.271 0.440 0.440 H
0.638 0.502 0.502 H
0.046 0.628 0.000 O
0.046 0.000 0.628 O
0.419 0.372 0.372 O
```



No. 7
VASP calculation (PBE-GGA) on a geometry-optimized NaH2O2 structure.

Summary:
Final energy = -0.1635 Ha/atom
Symmetry = C2/m (12)

Cell and atoms, written as POSCAR:
```
NaH2O2
1.0
-2.230 1.296 -0.817
-1.757 -1.755 2.011
4.435 5.589 1.244
Na H O
1 2 2
direct
0.000 0.000 0.000 Na
0.720 0.158 0.440 H
0.280 0.842 0.560 H
0.628 0.882 0.256 O
0.372 0.118 0.744 O
```



No. 8
VASP calculation (PBE-GGA) on a geometry-optimized Na2HO structure.

Summary:
Final energy = -0.1183 Ha/atom
Symmetry = P2_1/m (11)
Polymorph energy (0 for the lowest one) = 0 meV/atom

Cell and atoms, written as POSCAR:
```
Na2HO
1.0
-3.009 -2.058 0.874
1.831 -3.573 -2.114
1.779 -0.058 5.991
Na H O
4 2 2
direct
0.750 0.246 0.448 Na
0.250 0.754 0.552 Na
0.250 0.734 0.071 Na
0.750 0.266 0.929 Na
0.250 0.288 0.196 H
0.750 0.712 0.804 H
0.750 0.678 0.291 O
0.250 0.322 0.709 O
```



No. 9
VASP calculation (PBE-GGA) on a geometry-optimized NaHO structure.

Summary:
Final energy = -0.1648 Ha/atom
Symmetry = Cm (8)

Cell and atoms, written as POSCAR:
```
NaHO
1.0
5.608 0.005 0.109
4.600 3.207 0.109
0.551 0.173 3.456
Na H O
2 2 2
direct
0.404 0.404 0.737 Na
0.650 0.650 0.145 Na
0.187 0.187 0.585 H
0.943 0.943 0.183 H
0.096 0.096 0.697 O
0.851 0.851 0.276 O
```



No. 10
VASP calculation (PBE-GGA) on a geometry-optimized Na3H5O2 structure.

Summary:
Final energy = -0.1295 Ha/atom
Symmetry = Ibam (72)

Cell and atoms, written as POSCAR:
```
Na3H5O2
1.0
4.535 0.000 0.000
2.267 6.898 0.413
2.267 2.229 6.542
Na H O
6 10 4
direct
0.250 0.000 0.000 Na
0.750 0.000 0.000 Na
0.338 0.516 0.808 Na
0.662 0.484 0.192 Na
0.838 0.808 0.516 Na
0.162 0.192 0.484 Na
0.250 0.500 0.500 H
0.750 0.500 0.500 H
0.432 0.818 0.818 H
0.068 0.182 0.182 H
0.568 0.182 0.182 H
0.932 0.818 0.818 H
0.048 0.566 0.339 H
0.952 0.434 0.661 H
0.548 0.339 0.566 H
0.452 0.661 0.434 H
0.174 0.887 0.765 O
0.826 0.113 0.235 O
0.674 0.765 0.887 O
0.326 0.235 0.113 O
```



No. 11
VASP calculation (PBE-GGA) on a geometry-optimized NaHO structure.

Summary:
Final energy = -0.1663 Ha/atom
Symmetry = P2_1/m (11)

Cell and atoms, written as POSCAR:
```
NaHO
1.0
3.603 0.000 0.129
0.000 4.096 0.000
-0.747 0.000 4.631
Na H O
2 2 2
direct
0.910 0.000 0.685 Na
0.109 0.500 0.221 Na
0.520 0.000 0.111 H
0.499 0.500 0.794 H
0.785 0.000 0.183 O
0.234 0.500 0.723 O
```



No. 12
VASP calculation (PBE-GGA) on a geometry-optimized Na2HOsO6 structure.

Summary:
Final energy = -0.2112 Ha/atom
Symmetry = P-1 (2)

Cell and atoms, written as POSCAR:
```
Na2HOsO6
1.0
-4.548 -2.908 3.863
7.550 -0.842 3.846
0.500 -0.174 5.834
Na H Os O
2 1 1 6
direct
0.333 0.617 0.515 Na
0.667 0.383 0.485 Na
0.000 0.000 0.000 H
0.500 0.500 0.000 Os
0.150 0.453 0.145 O
0.784 0.873 0.724 O
0.156 0.245 0.672 O
0.850 0.547 0.855 O
0.216 0.127 0.276 O
0.844 0.755 0.328 O
```



No. 13
VASP calculation (PBE-GGA) on a geometry-optimized Na3H2OsO6 structure.

Summary:
Final energy = -0.2075 Ha/atom
Symmetry = P2_1/m (11)

Cell and atoms, written as POSCAR:
```
Na3H2OsO6
1.0
9.398 0.000 0.000
0.000 5.819 -0.007
0.000 2.889 5.295
Na H Os O
6 4 2 12
direct
0.250 0.024 0.990 Na
0.750 0.976 0.010 Na
0.432 0.710 0.747 Na
0.932 0.290 0.253 Na
0.568 0.290 0.253 Na
0.068 0.710 0.747 Na
0.471 0.725 0.254 H
0.971 0.275 0.746 H
0.529 0.275 0.746 H
0.029 0.725 0.254 H
0.250 0.398 0.390 Os
0.750 0.602 0.610 Os
0.250 0.614 0.526 O
0.750 0.386 0.474 O
0.250 0.335 0.126 O
0.750 0.665 0.874 O
0.392 0.171 0.584 O
0.892 0.829 0.416 O
0.608 0.829 0.416 O
0.108 0.171 0.584 O
0.415 0.665 0.153 O
0.915 0.335 0.847 O
0.585 0.335 0.847 O
0.085 0.665 0.153 O
```



No. 14
VASP calculation (PBE-GGA) on a geometry-optimized Na2P2H2O7 structure.

Summary:
Final energy = -0.2276 Ha/atom
Symmetry = Fddd (70)

Cell and atoms, written as POSCAR:
```
Na2P2H2O7
1.0
6.943 0.000 0.000
3.472 6.197 0.000
3.472 0.000 13.918
Na P H O
8 8 8 28
direct
0.210 0.783 0.099 Na
0.692 0.217 0.099 Na
0.008 0.783 0.901 Na
0.091 0.217 0.901 Na
0.540 0.717 0.401 Na
0.058 0.283 0.401 Na
0.742 0.717 0.599 Na
0.659 0.283 0.599 Na
0.729 0.714 0.144 P
0.126 0.286 0.144 P
0.557 0.714 0.856 P
0.588 0.286 0.856 P
0.021 0.786 0.356 P
0.624 0.214 0.356 P
0.193 0.786 0.644 P
0.162 0.214 0.644 P
0.385 0.000 0.230 H
0.615 0.000 0.770 H
0.365 0.500 0.270 H
0.135 0.500 0.730 H
0.678 0.644 0.000 H
0.322 0.356 0.000 H
0.072 0.856 0.500 H
0.428 0.144 0.500 H
0.558 0.837 0.235 O
0.207 0.163 0.235 O
0.604 0.837 0.765 O
0.631 0.163 0.765 O
0.192 0.663 0.265 O
0.543 0.337 0.265 O
0.146 0.663 0.735 O
0.119 0.337 0.735 O
0.615 0.641 0.086 O
0.299 0.359 0.086 O
0.744 0.641 0.914 O
0.341 0.359 0.914 O
0.135 0.859 0.414 O
0.451 0.141 0.414 O
0.006 0.859 0.586 O
0.409 0.141 0.586 O
0.854 0.825 0.082 O
0.063 0.175 0.082 O
0.321 0.825 0.918 O
0.761 0.175 0.918 O
0.896 0.675 0.418 O
0.687 0.325 0.418 O
0.429 0.675 0.582 O
0.989 0.325 0.582 O
0.904 0.500 0.193 O
0.596 0.500 0.807 O
0.846 0.000 0.307 O
0.154 0.000 0.693 O
```



No. 15
VASP calculation (PBE-GGA) on a geometry-optimized NaP2H5O8 structure.

Summary:
Final energy = -0.2196 Ha/atom
Symmetry = P2_1/c (14)

Cell and atoms, written as POSCAR:
```
NaP2H5O8
1.0
-4.241 -0.821 -6.554
-0.554 -8.543 1.428
-8.837 1.468 5.534
Na P H O
4 8 20 32
direct
0.584 0.222 0.658 Na
0.084 0.778 0.842 Na
0.416 0.778 0.342 Na
0.916 0.222 0.158 Na
0.007 0.415 0.691 P
0.507 0.585 0.809 P
0.993 0.585 0.309 P
0.493 0.415 0.191 P
0.737 0.039 0.927 P
0.237 0.961 0.573 P
0.263 0.961 0.073 P
0.763 0.039 0.427 P
0.847 0.441 0.517 H
0.347 0.559 0.983 H
0.153 0.559 0.483 H
0.653 0.441 0.017 H
0.831 0.524 0.832 H
0.331 0.476 0.668 H
0.169 0.476 0.168 H
0.669 0.524 0.332 H
0.959 0.191 0.854 H
0.459 0.809 0.646 H
0.041 0.809 0.146 H
0.541 0.191 0.354 H
0.701 0.830 0.811 H
0.201 0.170 0.689 H
0.299 0.170 0.189 H
0.799 0.830 0.311 H
0.594 0.959 0.099 H
0.094 0.041 0.401 H
0.406 0.041 0.901 H
0.906 0.959 0.599 H
0.153 0.485 0.615 O
0.653 0.515 0.885 O
0.847 0.515 0.385 O
0.347 0.485 0.115 O
0.054 0.260 0.752 O
0.554 0.740 0.748 O
0.946 0.740 0.248 O
0.446 0.260 0.252 O
0.844 0.388 0.605 O
0.344 0.612 0.895 O
0.156 0.612 0.395 O
0.656 0.388 0.105 O
0.954 0.534 0.797 O
0.454 0.466 0.703 O
0.046 0.466 0.203 O
0.546 0.534 0.297 O
0.583 0.105 0.862 O
0.083 0.895 0.638 O
0.417 0.895 0.138 O
0.917 0.105 0.362 O
0.896 0.147 0.935 O
0.396 0.853 0.565 O
0.104 0.853 0.065 O
0.604 0.147 0.435 O
0.798 0.886 0.859 O
0.298 0.114 0.641 O
0.202 0.114 0.141 O
0.702 0.886 0.359 O
0.710 0.005 0.073 O
0.210 0.995 0.427 O
0.290 0.995 0.927 O
0.790 0.005 0.573 O
```



No. 16
VASP calculation (PBE-GGA) on a geometry-optimized NaP2HO structure.

Summary:
Final energy = -0.1376 Ha/atom
Symmetry = P4/mmm (123)
Polymorph energy (0 for the lowest one) = 0 meV/atom

Cell and atoms, written as POSCAR:
```
NaP2HO
1.0
-2.758 -0.165 -2.164
-2.154 -0.229 2.762
-0.391 5.039 0.114
P H O Na
2 1 1 1
direct
0.000 0.500 0.000 P
0.500 0.000 0.000 P
0.000 0.000 0.000 H
0.000 0.000 0.500 O
0.500 0.500 0.500 Na
```



No. 17
VASP calculation (PBE-GGA) on a geometry-optimized Na3P2H4O7 structure.

Summary:
Final energy = -0.2057 Ha/atom
Symmetry = P-1 (2)

Cell and atoms, written as POSCAR:
```
Na3P2H4O7
1.0
-3.206 0.670 -5.108
0.361 -5.746 2.475
-7.992 4.454 7.005
Na P H O
6 4 8 14
direct
0.928 0.826 0.123 Na
0.072 0.174 0.877 Na
0.727 0.694 0.419 Na
0.273 0.306 0.581 Na
0.331 0.485 0.143 Na
0.669 0.515 0.857 Na
0.658 0.164 0.071 P
0.342 0.836 0.929 P
0.595 0.074 0.249 P
0.405 0.926 0.751 P
0.219 0.807 0.515 H
0.781 0.193 0.485 H
0.244 0.898 0.391 H
0.756 0.102 0.609 H
0.265 0.234 0.324 H
0.735 0.766 0.676 H
0.096 0.365 0.351 H
0.904 0.635 0.649 H
0.632 0.393 0.058 O
0.368 0.607 0.942 O
0.661 0.864 0.248 O
0.339 0.136 0.752 O
0.913 0.179 0.056 O
0.087 0.821 0.944 O
0.312 0.987 0.251 O
0.688 0.013 0.749 O
0.776 0.314 0.343 O
0.224 0.686 0.657 O
0.178 0.903 0.466 O
0.822 0.097 0.534 O
0.274 0.395 0.356 O
0.726 0.605 0.644 O
```